[1]
# Nd2HoInO | the Alexandria database | GGA-PBE | relaxed
data_Nd2HoInO
_cell_length_a 5.017
_cell_length_b 5.017
_cell_length_c 4.719
_cell_angle_alpha 90.00
_cell_angle_beta 90.00
_cell_angle_gamma 90.00
_space_group_name_H-M_alt 'P 4/m m m'
_space_group_IT_number 123
_space_group_name_Hall '-P 4 2'
loop_
_atom_site_label
_atom_site_fract_x
_atom_site_fract_y
_atom_site_fract_z
Nd1 0.000 0.500 0.000
Ho1 0.000 0.000 0.500
In1 0.500 0.500 0.500
O1 0.000 0.000 0.000
# D(E_F) ... 2.1 states/eV/cell
# Formation energy (no corrections) ... -1405 meV/atom

***

[2]
# CeInSe | the Alexandria database | GGA-PBE | relaxed
data_CeInSe
_cell_length_a 4.667
_cell_length_b 14.578
_cell_length_c 5.029
_cell_angle_alpha 90.00
_cell_angle_beta 90.00
_cell_angle_gamma 90.00
_space_group_name_H-M_alt 'C m c m'
_space_group_IT_number 63
_space_group_name_Hall '-C 2c 2'
loop_
_atom_site_label
_atom_site_fract_x
_atom_site_fract_y
_atom_site_fract_z
Ce1 0.000 0.141 0.250
In1 0.000 0.449 0.250
Se1 0.000 0.239 0.750
# D(E_F) ... 25.5 states/eV/cell
# Formation energy (no corrections) ... -909 meV/atom

***

[3]
# LiNpSn6 | the Alexandria database | GGA-PBE | relaxed
data_LiNpSn6
_cell_length_a 4.652
_cell_length_b 4.652
_cell_length_c 9.268
_cell_angle_alpha 90.00
_cell_angle_beta 90.00
_cell_angle_gamma 90.00
_space_group_name_H-M_alt 'P 4/m m m'
_space_group_IT_number 123
_space_group_name_Hall '-P 4 2'
loop_
_atom_site_label
_atom_site_fract_x
_atom_site_fract_y
_atom_site_fract_z
Li1 0.000 0.000 0.000
Np1 0.000 0.000 0.500
Sn1 0.000 0.500 0.244
Sn2 0.500 0.500 0.000
Sn3 0.500 0.500 0.500
# D(E_F) ... 15.3 states/eV/cell
# Calculated formation energy ... -0.11 eV per atom

***

[4]
# DyZrZnGa | the Alexandria database | GGA-PBE | relaxed
data_DyZrZnGa
_cell_length_a 6.898
_cell_length_b 6.898
_cell_length_c 6.898
_cell_angle_alpha 90.00
_cell_angle_beta 90.00
_cell_angle_gamma 90.00
_space_group_name_H-M_alt 'F -4 3 m'
_space_group_IT_number 216
_space_group_name_Hall 'F -4 2 3'
loop_
_atom_site_label
_atom_site_fract_x
_atom_site_fract_y
_atom_site_fract_z
Dy1 0.000 0.000 0.000
Zr1 0.000 0.000 0.500
Zn1 0.250 0.250 0.750
Ga1 0.250 0.250 0.250
# D(E_F) ... 6.4 states/eV/cell
# Calculated formation energy ... -0.39 eV per atom

***

[5]
# Dy2Al4ZnAu3 | the Alexandria database | GGA-PBE | relaxed
data_Dy2Al4ZnAu3
_cell_length_a 4.245
_cell_length_b 4.245
_cell_length_c 10.835
_cell_angle_alpha 90.00
_cell_angle_beta 90.00
_cell_angle_gamma 90.00
_space_group_name_H-M_alt 'P -4 m 2'
_space_group_IT_number 115
loop_
_space_group_symop_operation_xyz
'x,y,z'
'y,-x,-z'
'-x,-y,z'
'-y,x,-z'
'-x,y,z'
'-y,-x,-z'
'x,-y,z'
'y,x,-z'
loop_
_atom_site_label
_atom_site_fract_x
_atom_site_fract_y
_atom_site_fract_z
Dy1 0.000 0.500 0.244
Al1 0.000 0.000 0.500
Al2 0.000 0.500 0.865
Al3 0.500 0.500 0.500
Zn1 0.500 0.500 0.000
Au1 0.000 0.000 0.000
Au2 0.000 0.500 0.637
# D(E_F) ... 5.1 states/eV/cell
# Calculated formation energy ... -0.64 eV per atom

***

[6]
# PaAgPb | the Alexandria database | GGA-PBE | relaxed
data_PaAgPb
_cell_length_a 3.241
_cell_length_b 3.241
_cell_length_c 14.097
_cell_angle_alpha 90.00
_cell_angle_beta 90.00
_cell_angle_gamma 90.00
_space_group_name_H-M_alt 'I 4 m m'
_space_group_IT_number 107
_space_group_name_Hall 'I 4 -2'
loop_
_atom_site_label
_atom_site_fract_x
_atom_site_fract_y
_atom_site_fract_z
Pa1 0.000 0.000 0.000
Ag1 0.000 0.000 0.342
Pb1 0.000 0.000 0.681
# D(E_F) ... 10.3 states/eV/cell
# Calculated formation energy ... 0.22 eV per atom